Record 1
KCr2Mo: optimized geometry, GGA-PBEsol.

Output
* E: -28.6 eV for the cell shown
* energy of formation: 1.21 eV per atom
* D(E_F): 4.69 states/eV/cell
* calculated volume: 16.49 Å³/atom

Cell lengths 2.5230, 2.5230, 10.3629 Å; angles 90.00, 90.00, 90.00 degrees
With the nearest neighbours (Å) after each atom.
Fractional coordinates of all 4 atoms:
1 K 0.0000 0.0000 0.0000  4 K 2.52
2 Cr 0.5000 0.5000 0.2933  4 Cr 2.52, 4 Mo 2.79
3 Cr 0.5000 0.5000 0.7067  4 Cr 2.52, 4 Mo 2.79
4 Mo 0.0000 0.0000 0.5000  4 Mo 2.52, 8 Cr 2.79

Record 2
Zr2Rh: optimized geometry, GGA-PBEsol.

Output
* E: -223.0 eV for the cell shown
* energy of formation: -0.52 eV per atom
* D(E_F): 26.05 states/eV/cell
* calculated volume: 19.33 Å³/atom

Cell lengths 8.6891, 8.6891, 8.6891 Å; angles 60.00, 60.00, 60.00 degrees
With the nearest neighbours (Å) after each atom.
Fractional coordinates of all 24 atoms:
1 Zr 0.0000 0.0000 0.0000  6 Rh 2.76
2 Zr 0.0000 0.0000 0.5000  6 Rh 2.76
3 Zr 0.0000 0.5000 0.0000  6 Rh 2.76
4 Zr 0.1882 0.1882 0.5618  2 Rh 2.72
5 Zr 0.1882 0.5618 0.1882  2 Rh 2.72
6 Zr 0.1882 0.5618 0.5618  2 Rh 2.72
7 Zr 0.4382 0.4382 0.8118  2 Rh 2.72
8 Zr 0.4382 0.8118 0.4382  2 Rh 2.72
9 Zr 0.4382 0.8118 0.8118  2 Rh 2.72
10 Zr 0.5000 0.0000 0.0000  6 Rh 2.76
11 Zr 0.5618 0.1882 0.1882  2 Rh 2.72
12 Zr 0.5618 0.1882 0.5618  2 Rh 2.72
13 Zr 0.5618 0.5618 0.1882  2 Rh 2.72
14 Zr 0.8118 0.4382 0.4382  2 Rh 2.72
15 Zr 0.8118 0.4382 0.8118  2 Rh 2.72
16 Zr 0.8118 0.8118 0.4382  2 Rh 2.72
17 Rh 0.1612 0.7796 0.7796  6 Zr 2.72-2.76
18 Rh 0.2204 0.2204 0.2204  6 Zr 2.72-2.76
19 Rh 0.2204 0.2204 0.8388  6 Zr 2.72-2.76
20 Rh 0.2204 0.8388 0.2204  6 Zr 2.72-2.76
21 Rh 0.7796 0.1612 0.7796  6 Zr 2.72-2.76
22 Rh 0.7796 0.7796 0.1612  6 Zr 2.72-2.76
23 Rh 0.7796 0.7796 0.7796  6 Zr 2.72-2.76
24 Rh 0.8388 0.2204 0.2204  6 Zr 2.72-2.76

Question: What is the energy of formation in the second record?
Answer: -0.52 eV per atom